Record 1
First-principles (meta-GGA SCAN) data for a crystal of Zn2CSeCl relaxed with PBEsol, as listed in the Alexandria database. Values from VASP.

Summary:
Calculated density ... 5.3 g/cm³
Magnetization ... 0.0 μB/f.u.
Volume ... 16.124 Å³ per atom
Formation energy without anion corrections ... 297 kJ/mol of formula units
D(E_F) ... 1.945 states/eV/cell
Symmetry ... No. 123

Structure (Quantum ESPRESSO input):
```
&SYSTEM
  ibrav = 0, nat = 5, ntyp = 4
/
ATOMIC_SPECIES
Zn 65.41 Zn.upf
C 12.01 C.upf
Se 78.96 Se.upf
Cl 35.45 Cl.upf
CELL_PARAMETERS angstrom
3.9843 0.0000 0.0000
0.0000 3.9843 0.0000
0.0000 0.0000 5.0785
ATOMIC_POSITIONS angstrom
Zn 0.0000 1.9922 0.0000
Zn 1.9922 0.0000 0.0000
C 0.0000 0.0000 0.0000
Se 0.0000 0.0000 2.5392
Cl 1.9922 1.9922 2.5392
```


Record 2
First-principles (meta-GGA SCAN) data for a crystal of SrInPt2 relaxed with PBEsol, as listed in the Alexandria database. Values from VASP.

Summary:
Calculated density ... 12.0 g/cm³
Magnetization ... 0.0 μB/f.u.
Volume ... 20.490 Å³ per atom
D(E_F) ... 1.109 states/eV/cell
Symmetry ... No. 123
Energy ... -49.62 eV/atom

Structure (Quantum ESPRESSO input):
```
&SYSTEM
  ibrav = 0, nat = 4, ntyp = 3
/
ATOMIC_SPECIES
Sr 87.62 Sr.upf
In 114.82 In.upf
Pt 195.08 Pt.upf
CELL_PARAMETERS angstrom
3.4422 0.0000 0.0000
0.0000 3.4422 0.0000
0.0000 0.0000 6.9170
ATOMIC_POSITIONS angstrom
Sr 0.0000 0.0000 0.0000
In 0.0000 0.0000 3.4585
Pt 1.7211 1.7211 2.0507
Pt 1.7211 1.7211 4.8662
```


Record 3
First-principles (meta-GGA SCAN) data for a crystal of Sr2CaAu relaxed with PBEsol, as listed in the Alexandria database. Values from VASP.

Summary:
Calculated density ... 4.8 g/cm³
Magnetization ... 0.0 μB/f.u.
Energy above the most stable polymorph in this dataset ... 0 meV/atom
Volume ... 35.459 Å³ per atom
D(E_F) ... 2.662 states/eV/cell
Symmetry ... No. 99

Structure (Quantum ESPRESSO input):
```
&SYSTEM
  ibrav = 0, nat = 4, ntyp = 3
/
ATOMIC_SPECIES
Sr 87.62 Sr.upf
Ca 40.08 Ca.upf
Au 196.97 Au.upf
CELL_PARAMETERS angstrom
3.8032 0.0000 0.0000
0.0000 3.8032 0.0000
0.0000 0.0000 9.8060
ATOMIC_POSITIONS angstrom
Sr 0.0000 0.0000 0.0000
Sr 1.9016 1.9016 3.3236
Ca 1.9016 1.9016 6.7596
Au 0.0000 0.0000 5.1968
```


Record 4
First-principles (meta-GGA SCAN) data for a crystal of Tl2HgSb relaxed with PBEsol, as listed in the Alexandria database. Values from VASP.

Summary:
Calculated density ... 11.2 g/cm³
Magnetization ... 0.0 μB/f.u.
Energy above the most stable polymorph in this dataset ... 55 meV/atom
Volume ... 27.029 Å³ per atom
Formation energy without anion corrections ... 22 kJ/mol of formula units
D(E_F) ... 1.712 states/eV/cell
Symmetry ... No. 99

Structure (Quantum ESPRESSO input):
```
&SYSTEM
  ibrav = 0, nat = 4, ntyp = 3
/
ATOMIC_SPECIES
Tl 204.38 Tl.upf
Hg 200.59 Hg.upf
Sb 121.76 Sb.upf
CELL_PARAMETERS angstrom
3.6182 0.0000 0.0000
0.0000 3.6182 0.0000
0.0000 0.0000 8.2585
ATOMIC_POSITIONS angstrom
Tl 0.0000 0.0000 0.0000
Tl 1.8091 1.8091 2.3946
Hg 0.0000 0.0000 4.2904
Sb 1.8091 1.8091 6.1452
```


Q: D(E_F) of number 2 (SrInPt2)?
A: 1.109 states/eV/cell


Q: What is the volume in the first record?
A: 16.124 Å³ per atom